(1)
Be2CdSb, single point on PBEsol structure, DFT SCAN; density = 6.26 g/cm3; space-group type = No. 119; uncorrected formation energy = 617 meV per atom; polymorph energy (0 for the lowest one) = 0.1514 eV per atom; calculated total energy = -18.48 eV per atom
1.0
-1.873 1.873 4.768
1.873 -1.873 4.768
1.873 1.873 -4.768
Be Cd Sb
2 1 1
direct
0.000 0.000 0.000
0.750 0.250 0.500
0.500 0.500 0.000
0.250 0.750 0.500

---

(2)
Be2CdSb, single point on PBEsol structure, DFT SCAN; density = 4.77 g/cm3; space-group type = No. 122; uncorrected formation energy = 620 meV per atom; polymorph energy (0 for the lowest one) = 0.1545 eV per atom; calculated total energy = -18.48 eV per atom
1.0
-2.953 2.953 5.031
2.953 -2.953 5.031
2.953 2.953 -5.031
Be Cd Sb
4 2 2
direct
0.102 0.625 0.977
0.375 0.352 0.477
0.648 0.125 0.023
0.875 0.898 0.523
0.250 0.750 0.500
0.500 0.500 0.000
0.000 0.000 0.000
0.750 0.250 0.500

---

- Among the records above, which one has the lowest density?
  number 2

---

- The lowest density belongs to which entry?
  number 2